1.
A plane-wave DFT calculation with SCAN was carried out for K2ScRuS at its PBEsol-relaxed geometry.

Summary:
Symmetry: P4/mmm, No. 123
DOS at the Fermi energy, states/eV per cell: 3.30
E_form (uncorrected), eV per formula unit: 3.84

```
K2ScRuS
1.0
4.3129 0.0000 0.0000
0.0000 6.2988 0.0000
0.0000 0.0000 6.2988
S K Ru Sc
1 2 1 1
direct
0.5000 0.5000 0.5000
0.0000 0.0000 0.5000
0.0000 0.5000 0.0000
0.5000 0.0000 0.0000
0.0000 0.0000 0.0000
```

---

2.
A plane-wave DFT calculation with SCAN was carried out for MgCd2Tc at its PBEsol-relaxed geometry.

Summary:
Symmetry: P4mm, No. 99
DFT formation energy, kcal/mol of atoms: 5.23
DOS at the Fermi energy, states/eV per cell: 2.52

```
MgCd2Tc
1.0
-1.6610 2.2599 0.4746
-0.4216 -0.8716 2.6747
7.1602 4.7035 2.6614
Tc Cd Mg
1 2 1
direct
0.5000 0.5000 0.7456
0.0000 0.0000 0.9795
0.5000 0.5000 0.2524
0.0000 0.0000 0.5225
```

---

3.
A plane-wave DFT calculation with SCAN was carried out for Mn5Ru at its PBEsol-relaxed geometry.

Summary:
Symmetry: P-62m, No. 189
DFT formation energy, kcal/mol of atoms: 1.90
DOS at the Fermi energy, states/eV per cell: 6.30

```
Mn5Ru
1.0
3.9953 0.0000 0.0000
0.0000 4.3359 0.0000
0.0000 -2.1680 3.7550
Ru Mn
1 5
direct
0.5000 0.0000 0.0000
0.0000 0.3437 0.3437
0.5000 0.6667 0.3333
0.5000 0.3333 0.6667
0.0000 0.0000 0.6563
0.0000 0.6563 0.0000
```

---

4.
A plane-wave DFT calculation with SCAN was carried out for LiCdCu4 at its PBEsol-relaxed geometry.

Summary:
Symmetry: F-43m, No. 216
DFT formation energy, kcal/mol of atoms: -1.44
DOS at the Fermi energy, states/eV per cell: 2.07

```
LiCdCu4
1.0
4.8572 0.0000 0.0000
2.4286 4.2065 0.0000
2.4286 1.4022 3.9659
Cu Cd Li
4 1 1
direct
0.8746 0.3751 0.3751
0.3751 0.3751 0.3751
0.3751 0.8746 0.3751
0.3751 0.3751 0.8746
0.0000 0.0000 0.0000
0.7500 0.7500 0.7500
```

---

5.
A plane-wave DFT calculation with SCAN was carried out for LiAl at its PBEsol-relaxed geometry.

Summary:
Symmetry: C2/m, No. 12
DFT formation energy, kcal/mol of atoms: -2.46
DOS at the Fermi energy, states/eV per cell: 0.93

```
LiAl
1.0
2.7601 0.0000 0.0000
0.0000 5.0497 0.0087
-1.3800 -2.3787 4.5645
Li Al
2 2
direct
0.6210 0.9642 0.2421
0.3790 0.0358 0.7579
0.1255 0.4657 0.2511
0.8745 0.5343 0.7489
```

---

6.
A plane-wave DFT calculation with SCAN was carried out for BaHg2Mo at its PBEsol-relaxed geometry.

Summary:
Symmetry: Cmmm, No. 65
DFT formation energy, kcal/mol of atoms: 13.44
DOS at the Fermi energy, states/eV per cell: 2.28

```
BaHg2Mo
1.0
3.1026 0.0000 0.0000
0.0000 5.5059 0.0227
0.0000 -1.2906 5.3526
Hg Ba Mo
2 1 1
direct
0.0000 0.0000 0.5000
0.0000 0.5000 0.0000
0.5000 0.5000 0.5000
0.5000 0.0000 0.0000
```

---

Number 1: calculated total energy -71.5 eV/cell. Number 2: calculated total energy -100.0 eV/cell. Number 3: calculated total energy -125.6 eV/cell. Number 4: calculated total energy -94.0 eV/cell. Number 5: calculated total energy -20.7 eV/cell. Number 6: calculated total energy -208.4 eV/cell.